Entry 1:
A geometry-optimized CuPd3Se structure. Source: the Alexandria database, functional GGA-PBE.

Summary:
Its total moment is 0.0 Bohr magnetons per cell. The calculation puts the energy above the most stable polymorph in this dataset at 428 meV per atom. For the uncorrected formation energy, the calculation gives 0.345 eV per atom.

abc: 4.656 4.656 4.656
angles: 90.00 90.00 90.00
Space group Pm-3m (No. 221)
Unique sites:
Cu 0.000 0.000 0.000 (multiplicity 1)
Pd 0.000 0.500 0.500 (multiplicity 3)
Se 0.500 0.500 0.500 (multiplicity 1)

***

Entry 2:
A geometry-optimized Tm5Te2Os structure. Source: the Alexandria database, functional GGA-PBE.

Summary:
Its total moment is 0.0 Bohr magnetons per cell. For the uncorrected formation energy, the calculation gives -0.400 eV per atom.

abc: 5.216 16.267 13.266
angles: 90.00 90.00 90.00
Space group Cmcm (No. 63)
Unique sites:
Tm 0.000 0.094 0.116 (multiplicity 8)
Tm 0.000 0.262 0.750 (multiplicity 4)
Tm 0.000 0.308 0.076 (multiplicity 8)
Te 0.000 0.094 0.613 (multiplicity 8)
Os 0.000 0.216 0.250 (multiplicity 4)

***

Entry 3:
A geometry-optimized CsDyZnTe3 structure. Source: the Alexandria database, functional GGA-PBE.

Summary:
Its total moment is 0.0 Bohr magnetons per cell. For the uncorrected formation energy, the calculation gives -1.104 eV per atom.

abc: 4.437 17.323 11.736
angles: 90.00 90.00 90.00
Space group Cmcm (No. 63)
Unique sites:
Cs 0.000 0.248 0.250 (multiplicity 4)
Dy 0.000 0.500 0.000 (multiplicity 4)
Zn 0.000 0.036 0.750 (multiplicity 4)
Te 0.000 0.119 0.559 (multiplicity 8)
Te 0.000 0.440 0.750 (multiplicity 4)

***

Entry 4:
A geometry-optimized Ce2DyHo structure. Source: the Alexandria database, functional GGA-PBE.

Summary:
Its total moment is 4.5 Bohr magnetons per cell. The calculation puts the energy above the most stable polymorph in this dataset at 0 meV per atom. The value obtained for the formation enthalpy at 0 K is 0.0871 eV per atom.

abc: 3.4782 3.4782 34.4117
angles: 90.00 90.00 120.00
Space group R-3m (No. 166, hexagonal axes)
Unique sites:
Ce 0.0000 0.0000 0.2498 (multiplicity 6)
Dy 0.0000 0.0000 0.0000 (multiplicity 3)
Ho 0.0000 0.0000 0.5000 (multiplicity 3)

***

Entry 5:
A geometry-optimized Be2MoPb structure. Source: the Alexandria database, functional GGA-PBE.

Summary:
Its total moment is 0.0 Bohr magnetons per cell. The value obtained for the formation enthalpy at 0 K is 0.7442 eV per atom.

abc: 2.9954 2.9954 25.9308
angles: 90.00 90.00 120.00
Space group R-3m (No. 166, hexagonal axes)
Unique sites:
Be 0.0000 0.0000 0.2372 (multiplicity 6)
Mo 0.0000 0.0000 0.5000 (multiplicity 3)
Pb 0.0000 0.0000 0.0000 (multiplicity 3)

***

Entry 6:
A geometry-optimized PrEr4TmS8 structure. Source: the Alexandria database, functional GGA-PBE.

Summary:
Its total moment is 0.0 Bohr magnetons per cell. For the uncorrected formation energy, the calculation gives -1.915 eV per atom.

abc: 8.0422 8.0422 19.6639
angles: 90.00 90.00 120.00
Space group R3m (No. 160, hexagonal axes)
Unique sites:
Pr 0.0000 0.0000 0.0000 (multiplicity 3)
Er 0.0000 0.0000 0.2494 (multiplicity 3)
Er 0.0023 0.5011 0.1250 (multiplicity 9)
Tm 0.0000 0.0000 0.6240 (multiplicity 3)
S 0.0000 0.0000 0.3814 (multiplicity 3)
S 0.0000 0.0000 0.8624 (multiplicity 3)
S 0.0344 0.5172 0.3785 (multiplicity 9)
S 0.1765 0.3530 0.2063 (multiplicity 9)